A plane-wave DFT calculation with PBE was carried out for a relaxed Zn2Sb2Br crystal.

Final energy = -24.009 eV per cell
Energy relative to the lowest polymorph listed for this composition = 0 meV per atom
Formation energy without anion corrections = 0.092 eV/atom

The structure in CIF format:
```
data_Zn2Sb2Br
_space_group_name_H-M_alt 'I 4/m m m'
_space_group_IT_number 139
_space_group_name_Hall '-I 4 2'
_cell_length_a 4.3593
_cell_length_b 4.3593
_cell_length_c 13.4763
_cell_angle_alpha 90.00
_cell_angle_beta 90.00
_cell_angle_gamma 90.00
loop_
_atom_site_label
_atom_site_fract_x
_atom_site_fract_y
_atom_site_fract_z
_atom_site_occupancy
Zn1 0.0000 0.0000 0.0924 1
Sb1 0.0000 0.5000 0.2500 1
Br1 0.0000 0.0000 0.5000 1
```

A plane-wave DFT calculation with PBE was carried out for a relaxed IrRuSe crystal.

Final energy = -79.430 eV per cell
Energy relative to the lowest polymorph listed for this composition = 313 meV per atom
Formation energy without anion corrections = 0.588 eV/atom

The structure in CIF format:
```
data_IrRuSe
_space_group_name_H-M_alt 'F m m 2'
_space_group_IT_number 42
_space_group_name_Hall 'F 2 -2'
_cell_length_a 2.7778
_cell_length_b 4.8484
_cell_length_c 14.1247
_cell_angle_alpha 90.00
_cell_angle_beta 90.00
_cell_angle_gamma 90.00
loop_
_atom_site_label
_atom_site_fract_x
_atom_site_fract_y
_atom_site_fract_z
_atom_site_occupancy
Ir1 0.0000 0.0000 0.0000 1
Ru1 0.0000 0.0000 0.6553 1
Se1 0.0000 0.0000 0.3167 1
```